No. 1
# Ba2HPdSe, optimized geometry, DFT GGA-PBE
# **Size of the total moment**: 0.00 Bohr magnetons per cell
# **N(E_F)**: 0.494 states/eV per cell
# **Total energy**: -20.9 eV per cell
data_Ba2HPdSe
_chemical_formula_sum 'Ba2 H1 Pd1 Se1'
_space_group_name_H-M_alt 'P 4/m m m'
_space_group_IT_number 123
_space_group_name_Hall '-P 4 2'
_cell_length_a 5.6418
_cell_length_b 5.6418
_cell_length_c 3.9363
_cell_angle_alpha 90.00
_cell_angle_beta 90.00
_cell_angle_gamma 90.00
loop_
_atom_site_label
_atom_site_type_symbol
_atom_site_fract_x
_atom_site_fract_y
_atom_site_fract_z
Ba1 Ba 0.0000 0.5000 0.0000
H1 H 0.0000 0.0000 0.0000
Pd1 Pd 0.0000 0.0000 0.5000
Se1 Se 0.5000 0.5000 0.5000



No. 2
# NaSr2Te2, optimized geometry, DFT GGA-PBE
# **E_form (uncorrected)**: -1246 meV/atom
# **Size of the total moment**: 1.77 Bohr magnetons per cell
# **N(E_F)**: 1.225 states/eV per cell
# **Total energy**: -34.4 eV per cell
# **ΔE to the lowest computed polymorph**: 0.000 eV/atom
data_NaSr2Te2
_chemical_formula_sum 'Na2 Sr4 Te4'
_space_group_name_H-M_alt 'P 4/m b m'
_space_group_IT_number 127
_space_group_name_Hall '-P 4 2ab'
_cell_length_a 8.9112
_cell_length_b 8.9112
_cell_length_c 4.4185
_cell_angle_alpha 90.00
_cell_angle_beta 90.00
_cell_angle_gamma 90.00
loop_
_atom_site_label
_atom_site_type_symbol
_atom_site_fract_x
_atom_site_fract_y
_atom_site_fract_z
Na1 Na 0.0000 0.0000 0.0000
Sr1 Sr 0.1517 0.3483 0.5000
Te1 Te 0.1547 0.6547 0.0000



No. 3
# YAgF2, optimized geometry, DFT GGA-PBE
# **E_form (uncorrected)**: -2097 meV/atom
# **Size of the total moment**: 0.00 Bohr magnetons per cell
# **N(E_F)**: 5.682 states/eV per cell
# **Total energy**: -64.3 eV per cell
# **ΔE to the lowest computed polymorph**: 0.139 eV/atom
data_YAgF2
_chemical_formula_sum 'Y3 Ag3 F6'
_space_group_name_H-M_alt 'R -3 m'
_space_group_IT_number 166
_space_group_name_Hall '-R 3 2"'
_cell_length_a 3.2556
_cell_length_b 3.2556
_cell_length_c 28.1754
_cell_angle_alpha 90.00
_cell_angle_beta 90.00
_cell_angle_gamma 120.00
loop_
_atom_site_label
_atom_site_type_symbol
_atom_site_fract_x
_atom_site_fract_y
_atom_site_fract_z
Y1 Y 0.0000 0.0000 0.0000
Ag1 Ag 0.0000 0.0000 0.5000
F1 F 0.0000 0.0000 0.3813



No. 4
# BaTaAs2, optimized geometry, DFT GGA-PBE
# **Formation energy from the elements**: -2.398 eV/f.u.
# **Size of the total moment**: 0.00 Bohr magnetons per cell
# **N(E_F)**: 8.019 states/eV per cell
# **Total energy**: -76.4 eV per cell
# **ΔE to the lowest computed polymorph**: 0.020 eV/atom
data_BaTaAs2
_chemical_formula_sum 'Ba3 Ta3 As6'
_space_group_name_H-M_alt 'R 3 m'
_space_group_IT_number 160
_space_group_name_Hall 'R 3 -2"'
_cell_length_a 3.8843
_cell_length_b 3.8843
_cell_length_c 22.8898
_cell_angle_alpha 90.00
_cell_angle_beta 90.00
_cell_angle_gamma 120.00
loop_
_atom_site_label
_atom_site_type_symbol
_atom_site_fract_x
_atom_site_fract_y
_atom_site_fract_z
Ba1 Ba 0.0000 0.0000 0.0000
Ta1 Ta 0.0000 0.0000 0.8276
As1 As 0.0000 0.0000 0.2267
As2 As 0.0000 0.0000 0.4318